This record from the Alexandria database describes crystalline BaCe5Sb6 at its relaxed geometry. The functional is PBE.

Formation energy from raw total energies, meV/atom: -1009
DOS(E_F), states/eV/cell: 58.218

abc: 7.9444 13.7519 7.9425
angles: 90.00 109.52 90.00
Closest atoms and distances in Å follow each position.
Space group C2/m (No. 12)
Unique sites:
Ba (0.0000, 0.0000, 0.0000) x2  6 Sb 3.38-3.40
Ce (0.0000, 0.1615, 0.5000) x4  6 Sb 3.13-3.26
Ce (0.0000, 0.3316, 0.0000) x4  6 Sb 3.23-3.24
Ce (0.0000, 0.5000, 0.5000) x2  6 Sb 3.11-3.25
Sb (0.2354, 0.5000, 0.2568) x4  5 Ce 3.11-3.24, 1 Ba 3.38
Sb (0.2374, 0.3251, 0.7387) x8  5 Ce 3.13-3.26, 1 Ba 3.40

This record from the Alexandria database describes crystalline BaCeSb at its relaxed geometry. The functional is PBE.

Formation energy from raw total energies, meV/atom: -421
DOS(E_F), states/eV/cell: 9.335

abc: 5.3510 5.3510 4.8517
angles: 90.00 90.00 120.00
Closest atoms and distances in Å follow each position.
Space group P3m1 (No. 156)
Unique sites:
Ba (0.0000, 0.0000, 0.0000) x1  6 Sb 3.77-4.10, 6 Ce 3.88-3.97
Ce (0.3333, 0.6667, 0.4853) x1  3 Sb 3.11
Sb (0.6667, 0.3333, 0.5545) x1  3 Ce 3.11

This record from the Alexandria database describes crystalline Ba3Ce2ThSb6 at its relaxed geometry. The functional is PBE.

Formation energy from raw total energies, meV/atom: -1011
DOS(E_F), states/eV/cell: 2.155

abc: 8.1256 14.0731 8.3666
angles: 90.00 108.89 90.00
Closest atoms and distances in Å follow each position.
Space group C2/m (No. 12)
Unique sites:
Ba (0.0000, 0.0000, 0.0000) x2  6 Sb 3.53-3.55
Ba (0.0000, 0.3340, 0.0000) x4  6 Sb 3.53-3.55
Ce (0.0000, 0.1668, 0.5000) x4  6 Sb 3.17-3.18
Th (0.0000, 0.5000, 0.5000) x2  6 Sb 3.20
Sb (0.2344, 0.0000, 0.7112) x4  2 Ce 3.17, 1 Th 3.20, 3 Ba 3.53-3.55
Sb (0.2386, 0.3320, 0.7116) x8  2 Ce 3.17-3.18, 1 Th 3.20, 3 Ba 3.53-3.55

This record from the Alexandria database describes crystalline Ba3CeTh2Sb6 at its relaxed geometry. The functional is PBE.

Formation energy from raw total energies, meV/atom: -1016
DOS(E_F), states/eV/cell: 1.836

abc: 8.1269 14.0755 8.4068
angles: 90.00 108.79 90.00
Closest atoms and distances in Å follow each position.
Space group C2/m (No. 12)
Unique sites:
Ba (0.0000, 0.0000, 0.0000) x2  6 Sb 3.53-3.55
Ba (0.0000, 0.3326, 0.0000) x4  6 Sb 3.53-3.55
Ce (0.0000, 0.5000, 0.5000) x2  6 Sb 3.18
Th (0.0000, 0.1665, 0.5000) x4  6 Sb 3.21
Sb (0.2365, 0.3346, 0.7137) x8  1 Ce 3.18, 2 Th 3.21, 3 Ba 3.53-3.55
Sb (0.2409, 0.0000, 0.7143) x4  1 Ce 3.18, 2 Th 3.21, 3 Ba 3.53-3.55

This record from the Alexandria database describes crystalline BaCe2Sc at its relaxed geometry. The functional is PBE.

Formation enthalpy at 0 K, eV/atom: 0.36
DOS(E_F), states/eV/cell: 34.882

abc: 3.4495 3.4495 37.6949
angles: 90.00 90.00 120.00
Closest atoms and distances in Å follow each position.
Space group R-3m (No. 166, hexagonal axes)
Unique sites:
Ba (0.0000, 0.0000, 0.0000) x3  6 Ba 3.45, 2 Ce 3.56
Ce (0.0000, 0.0000, 0.0944) x6  3 Sc 3.38, 6 Ce 3.45, 1 Ba 3.56
Sc (0.0000, 0.0000, 0.5000) x3  6 Ce 3.38, 6 Sc 3.45

This record from the Alexandria database describes crystalline BaCeSe3 at its relaxed geometry. The functional is PBE.

Formation energy from raw total energies, meV/atom: -1794

abc: 4.5195 7.0463 9.6494
angles: 90.00 90.00 90.00
Closest atoms and distances in Å follow each position.
Space group Pmmn (No. 59, origin choice 2)
Unique sites:
Ba (0.2500, 0.2500, 0.1372) x2  8 Se 3.21-3.54
Ce (0.2500, 0.7500, 0.3947) x2  7 Se 2.85-2.97
Se (0.2500, 0.5101, 0.6483) x4  3 Ce 2.94-2.97
Se (0.2500, 0.7500, 0.0997) x2  1 Ce 2.85